one | Density functional theory data (PBE-GGA) for a relaxed structure of Sn3SbCl.

a b c (Å): 5.849 5.849 5.849
angles (deg): 90.00 90.00 90.00
Sites, in units of the cell vectors:
Sb (0.000, 0.000, 0.000)
Sn (0.500, 0.000, 0.000)
Sn (0.000, 0.000, 0.500)
Sn (0.000, 0.500, 0.000)
Cl (0.500, 0.500, 0.500)

Values from the calculation:
SG ... Pm-3m



two | Density functional theory data (PBE-GGA) for a relaxed structure of Sn3SbCl.

a b c (Å): 5.434 5.434 5.434
angles (deg): 90.00 90.00 90.00
Sites, in units of the cell vectors:
Sn (0.000, 0.000, 0.500)
Sn (0.500, 0.000, 0.000)
Sn (0.000, 0.500, 0.000)
Sb (0.500, 0.500, 0.500)
Cl (0.000, 0.000, 0.000)

Values from the calculation:
SG ... Pm-3m



Which one is most stable, and which one is least stable? two is the most stable of them, while one is the least stable.